No. 1
This record from Alexandria describes a relaxed Cs6RbTl4 crystal. The functional is GGA-PBE.

```
Cs6RbTl4
1.0
-5.079 5.079 7.365
5.079 -5.079 7.365
5.079 5.079 -7.365
Cs Rb Tl
6 1 4
Cartesian
5.079 0.000 0.000
3.187 3.187 -4.093
1.892 1.892 3.271
0.000 5.079 0.000
1.892 -1.892 11.458
-1.892 1.892 11.458
0.000 0.000 7.365
1.382 1.382 -0.790
3.697 -3.697 8.155
3.697 3.697 6.574
-3.697 3.697 8.155
```

Values from the calculation:
**Total moment**: 0.00 μB/f.u.
**Fermi-level density of states**: 10.797 states/eV/f.u.
**ΔH_f (0 K)**: -0.055 eV per atom

=====

No. 2
This record from Alexandria describes a relaxed SrBeNi4 crystal. The functional is GGA-PBE.

```
SrBeNi4
1.0
0.000 3.491 3.491
3.491 0.000 3.491
3.491 3.491 0.000
Sr Be Ni
1 1 4
Cartesian
0.000 0.000 0.000
5.236 5.236 5.236
2.631 2.631 2.631
4.351 4.351 2.631
4.351 2.631 4.351
2.631 4.351 4.351
```

Values from the calculation:
**Total moment**: 1.10 μB/f.u.
**Fermi-level density of states**: 7.003 states/eV/f.u.
**ΔH_f (0 K)**: 0.189 eV per atom

=====

No. 3
This record from Alexandria describes a relaxed Li2Ca2Au crystal. The functional is GGA-PBE.

```
Li2Ca2Au
1.0
-2.423 2.611 4.919
2.423 -2.611 4.919
2.423 2.611 -4.919
Li Ca Au
2 2 1
Cartesian
0.000 1.254 0.000
0.000 3.969 0.000
0.000 0.000 3.070
0.000 0.000 6.767
2.423 0.000 0.000
```

Values from the calculation:
**Total moment**: 0.00 μB/f.u.
**Fermi-level density of states**: 3.795 states/eV/f.u.
**E above lowest polymorph**: 0.0 meV per atom
**ΔH_f (0 K)**: -0.300 eV per atom

=====

No. 4
This record from Alexandria describes a relaxed TmAlNiPt crystal. The functional is GGA-PBE.

```
TmAlNiPt
1.0
0.000 3.214 3.214
3.214 0.000 3.214
3.214 3.214 0.000
Tm Al Ni Pt
1 1 1 1
Cartesian
0.000 0.000 0.000
3.214 3.214 3.214
1.607 1.607 1.607
4.820 4.820 4.820
```

Values from the calculation:
**Total moment**: 0.00 μB/f.u.
**Fermi-level density of states**: 2.977 states/eV/f.u.
**ΔH_f (0 K)**: -0.808 eV per atom

=====

No. 5
This record from Alexandria describes a relaxed ZnCuPt2 crystal. The functional is GGA-PBE.

```
ZnCuPt2
1.0
2.759 0.000 0.000
0.000 3.857 0.000
0.000 0.000 5.432
Zn Cu Pt
1 1 2
Cartesian
0.000 0.000 0.000
1.380 1.929 1.407
0.000 0.000 2.608
1.380 1.929 4.191
```

Values from the calculation:
**Total moment**: 0.00 μB/f.u.
**Fermi-level density of states**: 1.272 states/eV/f.u.
**ΔH_f (0 K)**: -0.296 eV per atom

=====

No. 6
This record from Alexandria describes a relaxed Pm3CdNi crystal. The functional is GGA-PBE.

```
Pm3CdNi
1.0
5.349 0.000 0.000
0.000 5.349 0.000
0.000 0.000 5.349
Pm Cd Ni
3 1 1
Cartesian
0.000 0.000 2.674
0.000 2.674 0.000
2.674 0.000 0.000
2.674 2.674 2.674
0.000 0.000 0.000
```

Values from the calculation:
**Total moment**: 0.00 μB/f.u.
**Fermi-level density of states**: 8.787 states/eV/f.u.
**E above lowest polymorph**: 161.9 meV per atom
**ΔH_f (0 K)**: -0.060 eV per atom

=====

No. 7
This record from Alexandria describes a relaxed Hg2IBrO crystal. The functional is GGA-PBE.

```
Hg2IBrO
1.0
9.790 -2.010 0.000
9.790 2.010 0.000
-2.698 0.000 8.583
Hg I Br O
4 2 2 2
Cartesian
-0.457 0.000 2.684
5.376 0.000 8.440
11.506 0.000 0.144
17.339 0.000 5.900
0.674 0.000 5.255
16.208 0.000 3.328
3.209 0.000 1.094
13.673 0.000 7.489
7.370 0.000 7.055
9.512 0.000 1.528
```

Values from the calculation:
**Formation energy (no corrections)**: -0.27 eV per atom
**Total moment**: 0.00 μB/f.u.
**Fermi-level density of states**: 0.697 states/eV/f.u.

=====

No. 8
This record from Alexandria describes a relaxed Tb3Re3Si8 crystal. The functional is GGA-PBE.

```
Tb3Re3Si8
1.0
-2.079 4.894 5.873
2.079 -4.894 5.873
2.079 4.894 -5.873
Tb Re Si
3 3 8
Cartesian
0.000 0.000 0.000
0.000 0.000 3.765
0.000 0.000 7.980
2.079 2.634 0.000
0.000 4.894 0.000
0.000 2.260 5.873
2.079 -1.256 1.981
2.079 -2.048 4.435
2.079 1.256 1.981
0.000 2.846 1.437
2.079 2.048 4.435
0.000 3.638 3.891
0.000 6.942 1.437
0.000 6.150 3.891
```

Values from the calculation:
**Formation energy (no corrections)**: -0.40 eV per atom
**Total moment**: 0.00 μB/f.u.
**Fermi-level density of states**: 6.631 states/eV/f.u.